[1]
The following is a GGA-PBE calculation of a relaxed PrMgCuS3 crystal, from Alexandria via LeMat-Bulk.

Unit cell a=3.833 b=7.714 c=8.393 alpha=103.49 beta=90.00 gamma=90.00
Positions (direct):
Mg  0.250  0.662  0.154
Mg  0.750  0.338  0.846
S  0.250  0.763  0.482
S  0.750  0.901  0.135
S  0.750  0.431  0.157
S  0.250  0.569  0.843
S  0.750  0.237  0.518
S  0.250  0.099  0.865
Cu  0.250  0.086  0.586
Cu  0.750  0.914  0.414
Pr  0.250  0.191  0.242
Pr  0.750  0.809  0.758

## Properties
Space-group type: P2_1/m
Crystal system: monoclinic
Final energy (eV per atom): -5.18
Spin magnetization (μB per formula unit): 0.00

=====

[2]
The following is a GGA-PBE calculation of a relaxed NbInAs2Se crystal, from Alexandria via LeMat-Bulk.

Unit cell a=5.072 b=5.072 c=5.183 alpha=90.00 beta=90.00 gamma=90.00
Positions (direct):
Nb  0.500  0.500  0.500
As  0.000  0.500  0.000
As  0.500  0.000  0.000
In  0.000  0.000  0.000
Se  0.000  0.000  0.500

## Properties
Space-group type: P4/mmm
Crystal system: tetragonal
Final energy (eV per atom): -3.87
Relative energy among the computed polymorphs (meV per atom): 1128
DOS at the Fermi energy (states/eV/f.u.): 8.57
Spin magnetization (μB per formula unit): 0.00

=====

[3]
The following is a GGA-PBE calculation of a relaxed TlOsPb2 crystal, from Alexandria via LeMat-Bulk.

Unit cell a=3.642 b=5.143 c=5.143 alpha=90.00 beta=90.00 gamma=90.00
Positions (direct):
Pb  0.000  0.500  0.500
Pb  0.000  0.000  0.000
Tl  0.500  0.500  0.000
Os  0.500  0.000  0.500

## Properties
Space-group type: P4/mmm
Crystal system: tetragonal
Final energy (eV per atom): -4.31
Relative energy among the computed polymorphs (meV per atom): 468
DOS at the Fermi energy (states/eV/f.u.): 4.28
DFT formation energy (eV per atom): 0.939
Spin magnetization (μB per formula unit): 0.01

=====

[4]
The following is a GGA-PBE calculation of a relaxed PBr2 crystal, from Alexandria via LeMat-Bulk.

Unit cell a=4.542 b=4.542 c=8.814 alpha=90.00 beta=90.00 gamma=120.00
Positions (direct):
Br  0.333  0.667  0.750
Br  0.000  0.000  0.000
Br  0.000  0.000  0.500
Br  0.667  0.333  0.250
P  0.667  0.333  0.750
P  0.333  0.667  0.250

## Properties
Space-group type: P6_3/mmc
Crystal system: hexagonal
Final energy (eV per atom): -2.25
DOS at the Fermi energy (states/eV/f.u.): 1.54
Spin magnetization (μB per formula unit): 0.89

=====

[5]
The following is a GGA-PBE calculation of a relaxed Tb8Os2Ru crystal, from Alexandria via LeMat-Bulk.

Unit cell a=4.754 b=6.982 c=9.117 alpha=106.25 beta=105.11 gamma=90.00
Positions (direct):
Tb  0.205  0.314  0.410
Tb  0.971  0.207  0.942
Tb  0.795  0.686  0.590
Tb  0.029  0.793  0.058
Tb  0.598  0.466  0.196
Tb  0.402  0.534  0.804
Tb  0.332  0.036  0.664
Tb  0.668  0.964  0.336
Ru  0.500  0.000  0.000
Os  0.185  0.700  0.370
Os  0.815  0.300  0.630

## Properties
Space-group type: C2/m
Crystal system: monoclinic
Final energy (eV per atom): -6.46
Relative energy among the computed polymorphs (meV per atom): 0
DOS at the Fermi energy (states/eV/f.u.): 9.67
DFT formation energy (eV per atom): -0.210
Spin magnetization (μB per formula unit): 0.00

=====

[6]
The following is a GGA-PBE calculation of a relaxed AlTlRe crystal, from Alexandria via LeMat-Bulk.

Unit cell a=5.414 b=5.414 c=5.414 alpha=144.11 beta=144.11 gamma=51.67
Positions (direct):
Al  0.031  0.031  0.000
Tl  0.330  0.330  0.000
Re  0.639  0.639  0.000

## Properties
Space-group type: I4mm
Crystal system: tetragonal
Final energy (eV per atom): -5.67
Relative energy among the computed polymorphs (meV per atom): 0
DOS at the Fermi energy (states/eV/f.u.): 2.42
DFT formation energy (eV per atom): 0.517
Spin magnetization (μB per formula unit): 0.70

=====

[7]
The following is a GGA-PBE calculation of a relaxed LaNi2Ir crystal, from Alexandria via LeMat-Bulk.

Unit cell a=4.302 b=5.380 c=4.302 alpha=128.71 beta=90.03 gamma=90.00
Positions (direct):
La  0.500  0.500  0.000
Ni  0.000  0.178  0.356
Ni  0.000  0.822  0.644
Ir  0.500  0.000  0.000

## Properties
Space-group type: Cmmm
Crystal system: orthorhombic
Final energy (eV per atom): -6.32
DOS at the Fermi energy (states/eV/f.u.): 4.83
DFT formation energy (eV per atom): 0.016
Spin magnetization (μB per formula unit): 0.00

=====

[8]
The following is a GGA-PBE calculation of a relaxed NpFe2Si crystal, from Alexandria via LeMat-Bulk.

Unit cell a=4.199 b=4.199 c=4.631 alpha=63.04 beta=63.04 gamma=60.00
Positions (direct):
Si  0.500  0.500  0.500
Fe  0.799  0.799  0.604
Fe  0.201  0.201  0.396
Np  0.000  0.000  0.000

## Properties
Space-group type: R-3m
Crystal system: trigonal
Final energy (eV per atom): -9.03
DOS at the Fermi energy (states/eV/f.u.): 5.61
Spin magnetization (μB per formula unit): 0.59

=====

[9]
The following is a GGA-PBE calculation of a relaxed FePtI3 crystal, from Alexandria via LeMat-Bulk.

Unit cell a=5.148 b=5.148 c=5.148 alpha=90.00 beta=90.00 gamma=90.00
Positions (direct):
I  0.500  0.000  0.000
I  0.000  0.000  0.500
I  0.000  0.500  0.000
Pt  0.500  0.500  0.500
Fe  0.000  0.000  0.000

## Properties
Space-group type: Pm-3m
Crystal system: cubic
Final energy (eV per atom): -2.82
DOS at the Fermi energy (states/eV/f.u.): 13.36
Spin magnetization (μB per formula unit): 0.01

=====

[10]
The following is a GGA-PBE calculation of a relaxed Re2Cl crystal, from Alexandria via LeMat-Bulk.

Unit cell a=4.926 b=4.926 c=4.926 alpha=106.32 beta=106.32 gamma=115.97
Positions (direct):
Cl  0.250  0.250  0.000
Cl  0.750  0.750  0.000
Re  0.854  0.354  0.208
Re  0.354  0.146  0.500
Re  0.146  0.646  0.792
Re  0.646  0.854  0.500

## Properties
Space-group type: I4/mcm
Crystal system: tetragonal
Final energy (eV per atom): -7.25
Relative energy among the computed polymorphs (meV per atom): 1483
DOS at the Fermi energy (states/eV/f.u.): 3.23
Spin magnetization (μB per formula unit): 0.00

=====

[11]
The following is a GGA-PBE calculation of a relaxed PuBeC crystal, from Alexandria via LeMat-Bulk.

Unit cell a=3.054 b=3.054 c=6.989 alpha=82.19 beta=82.19 gamma=89.46
Positions (direct):
Pu  0.351  0.351  0.652
Pu  0.649  0.649  0.348
Be  0.251  0.749  0.000
Be  0.749  0.251  0.000
C  0.202  0.202  0.156
C  0.798  0.798  0.844

## Properties
Space-group type: C2/m
Crystal system: monoclinic
Final energy (eV per atom): -9.02
Relative energy among the computed polymorphs (meV per atom): 126
DOS at the Fermi energy (states/eV/f.u.): 3.08
DFT formation energy (eV per atom): 0.076
Spin magnetization (μB per formula unit): 0.00

=====

[12]
The following is a GGA-PBE calculation of a relaxed CdS2I crystal, from Alexandria via LeMat-Bulk.

Unit cell a=4.988 b=4.988 c=4.988 alpha=60.00 beta=60.00 gamma=60.00
Positions (direct):
Cd  0.000  0.000  0.000
S  0.750  0.750  0.750
S  0.250  0.250  0.250
I  0.500  0.500  0.500

## Properties
Space-group type: Fm-3m
Crystal system: cubic
Final energy (eV per atom): -2.09
Relative energy among the computed polymorphs (meV per atom): 658
DOS at the Fermi energy (states/eV/f.u.): 4.11
Spin magnetization (μB per formula unit): 0.00

=====

[13]
The following is a GGA-PBE calculation of a relaxed TaRu2Rh crystal, from Alexandria via LeMat-Bulk.

Unit cell a=3.800 b=3.800 c=9.432 alpha=78.38 beta=78.38 gamma=90.00
Positions (direct):
Ru  0.375  0.400  0.750
Ru  0.875  0.850  0.750
Ru  0.600  0.125  0.250
Ru  0.150  0.625  0.250
Ta  0.750  0.250  0.500
Ta  0.000  0.000  0.000
Rh  0.500  0.500  0.000
Rh  0.250  0.750  0.500

## Properties
Space-group type: I-42d
Crystal system: tetragonal
Final energy (eV per atom): -9.12
Relative energy among the computed polymorphs (meV per atom): 656
DOS at the Fermi energy (states/eV/f.u.): 4.07
DFT formation energy (eV per atom): 0.322
Spin magnetization (μB per formula unit): 0.00

=====

[14]
The following is a GGA-PBE calculation of a relaxed MgPdIN2 crystal, from Alexandria via LeMat-Bulk.

Unit cell a=3.939 b=3.939 c=6.893 alpha=90.00 beta=90.00 gamma=90.00
Positions (direct):
N  0.000  0.500  0.000
N  0.500  0.000  0.000
I  0.000  0.000  0.500
Pd  0.000  0.000  0.000
Mg  0.500  0.500  0.500

## Properties
Space-group type: P4/mmm
Crystal system: tetragonal
Final energy (eV per atom): -3.80
Relative energy among the computed polymorphs (meV per atom): 0
DOS at the Fermi energy (states/eV/f.u.): 5.10
Spin magnetization (μB per formula unit): 0.00